# Pm5Cd2

A geometry-optimized Pm5Cd2 structure (PBE, Alexandria).

Lattice parameters (Å, degrees): 5.5344 8.7514 9.5778 100.43 90.00 108.43
Atoms (fractional coordinates):
Pm  0.6120  0.7240  0.5375
Pm  0.8880  0.2760  0.9625
Pm  0.9867  0.4736  0.3290
Pm  0.5131  0.5264  0.1710
Pm  0.0133  0.5264  0.6710
Pm  0.4869  0.4736  0.8290
Pm  0.1120  0.7240  0.0375
Pm  0.3880  0.2760  0.4625
Pm  0.2501  0.0000  0.7500
Pm  0.7499  0.0000  0.2500
Cd  0.8168  0.1333  0.6057
Cd  0.6835  0.8667  0.8943
Cd  0.1832  0.8667  0.3943
Cd  0.3165  0.1333  0.1057

Computed properties:
Polymorph energy (0 for the lowest one), eV/f.u.: 0.00
Total magnetization, μB per formula unit: 0.00
DFT total energy, eV per atom: -3.81

***

# Pm4Cd

A geometry-optimized Pm4Cd structure (PBE, Alexandria).

Lattice parameters (Å, degrees): 3.6903 3.6903 12.0216 98.83 98.83 90.00
Atoms (fractional coordinates):
Pm  0.5880  0.5880  0.1761
Pm  0.1956  0.1956  0.3913
Pm  0.8044  0.8044  0.6087
Pm  0.4120  0.4120  0.8239
Cd  0.0000  0.0000  0.0000

Computed properties:
Polymorph energy (0 for the lowest one), eV/f.u.: 0.00
Total magnetization, μB per formula unit: 0.00
DFT total energy, eV per atom: -4.10

***

# PmCd5

A geometry-optimized PmCd5 structure (PBE, Alexandria).

Lattice parameters (Å, degrees): 4.7859 4.6852 6.8809 109.90 90.00 90.00
Atoms (fractional coordinates):
Cd  0.5000  0.8322  0.6643
Cd  0.0000  0.6767  0.3533
Cd  0.5000  0.5000  0.0000
Cd  0.0000  0.3233  0.6467
Cd  0.5000  0.1678  0.3357
Pm  0.0000  0.0000  0.0000

Computed properties:
Total magnetization, μB per formula unit: 0.00
DFT total energy, eV per atom: -1.75

***

# Pm2Cd

A geometry-optimized Pm2Cd structure (PBE, Alexandria).

Lattice parameters (Å, degrees): 3.6481 6.5650 8.2571 103.36 77.26 106.02
Atoms (fractional coordinates):
Pm  0.4056  0.1504  0.8362
Pm  0.5881  0.8470  0.1656
Pm  0.1474  0.2537  0.4566
Pm  0.8463  0.7437  0.5452
Cd  0.8668  0.3980  0.1597
Cd  0.1269  0.5996  0.8421

Computed properties:
Polymorph energy (0 for the lowest one), eV/f.u.: 0.05
Total magnetization, μB per formula unit: 0.00
DFT total energy, eV per atom: -3.66

***

# Pm3Cd2

A geometry-optimized Pm3Cd2 structure (PBE, Alexandria).

Lattice parameters (Å, degrees): 3.7774 3.7774 20.6323 90.00 90.00 90.00
Atoms (fractional coordinates):
Pm  0.0000  0.0000  0.8793
Pm  0.0000  0.0000  0.1207
Pm  0.0000  0.0000  0.3111
Pm  0.0000  0.0000  0.5000
Pm  0.0000  0.0000  0.6889
Pm  0.5000  0.5000  0.0000
Cd  0.5000  0.5000  0.2146
Cd  0.5000  0.5000  0.4051
Cd  0.5000  0.5000  0.5949
Cd  0.5000  0.5000  0.7854

Computed properties:
Total magnetization, μB per formula unit: 0.68
DFT total energy, eV per atom: -3.46

***

# Pm5Cd2

A geometry-optimized Pm5Cd2 structure (PBE, Alexandria).

Lattice parameters (Å, degrees): 7.9939 6.7007 9.0431 92.43 116.23 90.00
Atoms (fractional coordinates):
Pm  0.2207  0.5239  0.1571
Pm  0.0636  0.9761  0.8429
Pm  0.1976  0.7961  0.5316
Pm  0.6659  0.7039  0.4684
Pm  0.8024  0.2039  0.4684
Pm  0.3341  0.2961  0.5316
Pm  0.9364  0.0239  0.1571
Pm  0.7793  0.4761  0.8429
Pm  0.4704  0.2500  0.0000
Pm  0.5296  0.7500  0.0000
Cd  0.1195  0.4889  0.7537
Cd  0.3658  0.0111  0.2463
Cd  0.8805  0.5111  0.2463
Cd  0.6342  0.9889  0.7537

Computed properties:
Polymorph energy (0 for the lowest one), eV/f.u.: 0.31
Total magnetization, μB per formula unit: 0.00
DFT total energy, eV per atom: -3.77